# 1
VASP calculation (PBE-GGA) on a geometry-optimized ErCoPt structure.

Output
Energy relative to the elements in eV per formula unit: 0.4
Calculated density in g/cm3: 11.3
Total energy in eV/atom: -5.79

a b c (Å): 6.2713 6.2713 6.2713
angles (deg): 90.00 90.00 90.00
With the nearest neighbours (Å) after each atom.
Space group F-43m (No. 216)
One atom of each set of equivalent atoms:
Er (0.0000, 0.0000, 0.0000) x4  4 Co 2.72, 4 Pt 2.72
Co (0.2500, 0.2500, 0.7500) x4  4 Er 2.72
Pt (0.2500, 0.2500, 0.2500) x4  4 Er 2.72

# 2
VASP calculation (PBE-GGA) on a geometry-optimized HfBe2Tc2 structure.

Output
Calculated density in g/cm3: 9.6
Energy above the most stable polymorph in this dataset in eV per atom: 0.189
Total energy in eV/atom: -7.84

a b c (Å): 3.5956 3.5956 10.5159
angles (deg): 90.00 90.00 90.00
With the nearest neighbours (Å) after each atom.
Space group I4/mmm (No. 139)
One atom of each set of equivalent atoms:
Hf (0.0000, 0.0000, 0.0000) x2  8 Be 2.74
Be (0.0000, 0.0000, 0.4033) x4  1 Be 2.03
Tc (0.0000, 0.5000, 0.2500) x4  4 Be 2.42, 4 Tc 2.54

# 3
VASP calculation (PBE-GGA) on a geometry-optimized PmThGa structure.

Output
Calculated density in g/cm3: 8.2
Total energy in eV/atom: -5.21

a b c (Å): 7.1292 7.1292 7.1292
angles (deg): 90.00 90.00 90.00
With the nearest neighbours (Å) after each atom.
Space group F-43m (No. 216)
One atom of each set of equivalent atoms:
Pm (0.0000, 0.0000, 0.0000) x4  4 Ga 3.09
Th (0.0000, 0.0000, 0.5000) x4  4 Ga 3.09
Ga (0.2500, 0.2500, 0.2500) x4  4 Th 3.09, 4 Pm 3.09

# 4
VASP calculation (PBE-GGA) on a geometry-optimized Tm structure.

Output
Energy relative to the elements in eV per formula unit: 0.2
Calculated density in g/cm3: 9.1
Energy above the most stable polymorph in this dataset in eV per atom: 0.201
Total energy in eV/atom: -4.27

a b c (Å): 12.1249 12.1249 12.1249
angles (deg): 90.00 90.00 90.00
With the nearest neighbours (Å) after each atom.
Space group I-43m (No. 217)
One atom of each set of equivalent atoms:
Tm (0.0000, 0.0000, 0.0000) x2  16 Tm 3.60-3.78
Tm (0.0572, 0.3681, 0.6319) x24  8 Tm 3.36-3.52
Tm (0.0934, 0.0934, 0.7177) x24  8 Tm 3.20-3.52
Tm (0.1714, 0.1714, 0.1714) x8  10 Tm 3.36-3.61

# 5
VASP calculation (PBE-GGA) on a geometry-optimized PmMgHgAu structure.

Output
Calculated density in g/cm3: 10.3
Total energy in eV/atom: -3.07

a b c (Å): 7.1481 7.1481 7.1481
angles (deg): 90.00 90.00 90.00
With the nearest neighbours (Å) after each atom.
Space group F-43m (No. 216)
One atom of each set of equivalent atoms:
Pm (0.0000, 0.0000, 0.0000) x4  4 Hg 3.10, 4 Au 3.10
Mg (0.0000, 0.0000, 0.5000) x4  4 Hg 3.10, 4 Au 3.10
Hg (0.2500, 0.2500, 0.2500) x4  4 Mg 3.10, 4 Pm 3.10
Au (0.2500, 0.2500, 0.7500) x4  4 Mg 3.10, 4 Pm 3.10

# 6
VASP calculation (PBE-GGA) on a geometry-optimized KLuAgTe3 structure.

Output
Calculated density in g/cm3: 6.0
Total energy in eV/atom: -3.86

a b c (Å): 4.2171 16.4782 11.2321
angles (deg): 90.00 90.00 90.00
With the nearest neighbours (Å) after each atom.
Space group Cmcm (No. 63)
One atom of each set of equivalent atoms:
K (0.0000, 0.2412, 0.2500) x4  8 Te 3.63-3.94, 2 Ag 3.98
Lu (0.0000, 0.0000, 0.0000) x4  6 Te 3.04-3.08
Ag (0.0000, 0.4638, 0.7500) x4  4 Te 2.77-2.82
Te (0.0000, 0.0774, 0.7500) x4  2 Ag 2.82, 2 Lu 3.08
Te (0.0000, 0.3710, 0.5447) x8  1 Ag 2.77, 2 Lu 3.04

# 7
VASP calculation (PBE-GGA) on a geometry-optimized AgC2O2 structure.

Output
Calculated density in g/cm3: 4.3
Total energy in eV/atom: -6.59

a b c (Å): 19.7955 7.0321 7.4415
angles (deg): 90.00 102.56 90.00
With the nearest neighbours (Å) after each atom.
Space group C2/c (No. 15)
One atom of each set of equivalent atoms:
Ag (0.0844, 0.0004, 0.1970) x8  4 O 2.22-2.43
Ag (0.1544, 0.2969, 0.4346) x8  3 O 2.31-2.42
C (0.0052, 0.3567, 0.4786) x8  1 O 1.26
C (0.0487, 0.4978, 0.0888) x8  1 O 1.26
C (0.2005, 0.1950, 0.9820) x8  1 O 1.26
C (0.2464, 0.2445, 0.8586) x8  1 O 1.26
O (0.0126, 0.1808, 0.4541) x8  1 C 1.26
O (0.1081, 0.4988, 0.6933) x8  1 C 1.26
O (0.1404, 0.1259, 0.9616) x8  1 C 1.26
O (0.2426, 0.2373, 0.6879) x8  1 C 1.26

# 8
VASP calculation (PBE-GGA) on a geometry-optimized HfPaMo structure.

Output
Energy relative to the elements in eV per formula unit: 3.3
Calculated density in g/cm3: 12.0
Energy above the most stable polymorph in this dataset in eV per atom: 0.741
Total energy in eV/atom: -9.01

a b c (Å): 6.5414 6.5414 6.5414
angles (deg): 90.00 90.00 90.00
With the nearest neighbours (Å) after each atom.
Space group F-43m (No. 216)
One atom of each set of equivalent atoms:
Hf (0.0000, 0.0000, 0.0000) x4  4 Pa 2.83
Pa (0.2500, 0.2500, 0.2500) x4  4 Hf 2.83, 4 Mo 2.83
Mo (0.0000, 0.0000, 0.5000) x4  4 Pa 2.83